# 1
VASP calculation (PBE) on a relaxed CsErFe2Cl8 crystal.

Geometry as extended XYZ:
```
12
Lattice="-4.5925 -4.3477 -1.5406 2.2334 -4.4390 -4.2040 2.6823 -6.7855 7.1066" Properties=species:S:1:pos:R:3 pbc="T T T"
Cl 0.8594 -6.8225 2.4362
Cl 1.0837 -5.5851 -2.1224
Cl -1.7535 -6.7103 -4.2640
Cl 2.6871 -10.0332 2.1392
Cl -0.7604 -9.9871 3.4844
Cl -0.5361 -8.7497 -1.0742
Cl 2.0768 -8.8619 5.6260
Cl -2.3639 -5.5390 -0.7772
Fe 1.2384 -8.7461 3.4734
Fe -0.9151 -6.8261 -2.1114
Er 0.0000 0.0000 0.0000
Cs 1.3411 -3.3927 3.5533
```

E_form (uncorrected)   -32.91 kcal/mol of atoms
Calculated volume   33.24 Å³ per atom


# 2
VASP calculation (PBE) on a relaxed Sm6Ho crystal.

Geometry as extended XYZ:
```
14
Lattice="6.5559 -0.0001 0.0000 -0.0001 6.5559 0.0000 0.0000 0.0000 11.2126" Properties=species:S:1:pos:R:3 pbc="T T T"
Ho 0.0000 3.2779 0.0000
Ho 3.2779 0.0000 0.0000
Sm 4.3794 1.1015 4.0452
Sm 2.1764 1.1015 7.1673
Sm 4.3794 5.4543 7.1673
Sm 0.0000 0.0000 9.6728
Sm 0.0000 0.0000 1.5398
Sm 2.1764 5.4543 4.0452
Sm 3.2779 3.2779 1.5398
Sm 1.1015 4.3794 7.1674
Sm 5.4543 4.3794 4.0452
Sm 5.4543 2.1764 7.1674
Sm 3.2779 3.2779 9.6728
Sm 1.1015 2.1764 4.0452
```

Energy of formation from the pure elements   1.75 eV per formula unit
Excess energy over the best structure of this formula in the dataset   0.0 meV per atom
Calculated volume   34.42 Å³ per atom


> Look up the calculated volume of the second one.

34.42 Å³ per atom


> What is the formula in the second record?

Sm6Ho


> Among the records above, which one has the lowest calculated volume?

CsErFe2Cl8